(1)
Entry from Alexandria via LeMat-Bulk: Pm2GeI3 after structural relaxation (GGA-PBE).

POSCAR file:
```
Pm2GeI3
1.0
4.726 0.000 0.000
2.363 9.646 0.092
2.363 2.385 10.302
Pm Ge I
4 2 6
direct
0.867 0.479 0.786 Pm
0.133 0.521 0.214 Pm
0.606 0.220 0.567 Pm
0.394 0.780 0.433 Pm
0.441 0.498 0.620 Ge
0.559 0.502 0.380 Ge
0.042 0.139 0.777 I
0.958 0.861 0.223 I
0.665 0.672 0.999 I
0.335 0.328 0.001 I
0.766 0.846 0.622 I
0.234 0.154 0.378 I
```

Computed properties:
formation energy (no corrections): -1.092 eV/atom

***

(2)
Entry from Alexandria via LeMat-Bulk: Pm3Ge2I2 after structural relaxation (GGA-PBE).

POSCAR file:
```
Pm3Ge2I2
1.0
-0.894 -4.100 -0.439
7.342 0.438 0.987
-2.285 -0.339 7.702
Pm Ge I
3 2 2
direct
0.000 0.000 0.000 Pm
0.757 0.512 0.222 Pm
0.243 0.488 0.778 Pm
0.624 0.251 0.897 Ge
0.376 0.749 0.103 Ge
0.876 0.755 0.615 I
0.124 0.245 0.385 I
```

Computed properties:
formation energy (no corrections): -0.880 eV/atom

***

(3)
Entry from Alexandria via LeMat-Bulk: PmGeI after structural relaxation (GGA-PBE).

POSCAR file:
```
PmGeI
1.0
4.366 -0.005 -0.017
2.177 3.784 -0.017
0.316 0.183 12.066
Pm Ge I
2 2 2
direct
0.994 0.994 0.662 Pm
0.006 0.006 0.338 Pm
0.666 0.666 0.511 Ge
0.334 0.334 0.489 Ge
0.679 0.679 0.169 I
0.321 0.321 0.831 I
```

Computed properties:
formation energy (no corrections): -1.036 eV/atom
polymorph energy (0 for the lowest one): 0.000 eV per atom

***

(4)
Entry from Alexandria via LeMat-Bulk: Pm6Ge5I after structural relaxation (GGA-PBE).

POSCAR file:
```
Pm6Ge5I
1.0
7.418 0.229 0.000
2.308 7.081 0.000
1.154 3.541 6.485
Pm Ge I
6 5 1
direct
0.738 0.088 0.345 Pm
0.262 0.568 0.345 Pm
0.254 0.260 0.000 Pm
0.746 0.740 0.000 Pm
0.738 0.432 0.655 Pm
0.262 0.912 0.655 Pm
0.500 0.158 0.683 Ge
0.000 0.333 0.335 Ge
0.500 0.500 0.000 Ge
0.000 0.667 0.665 Ge
0.500 0.842 0.317 Ge
0.000 0.000 0.000 I
```

Computed properties:
formation energy (no corrections): -0.820 eV/atom

***

(5)
Entry from Alexandria via LeMat-Bulk: Pm3GeI7 after structural relaxation (GGA-PBE).

POSCAR file:
```
Pm3GeI7
1.0
7.388 0.000 0.000
0.000 8.985 0.000
0.000 -4.493 7.782
Pm Ge I
3 1 7
direct
0.775 0.495 0.505 Pm
0.775 0.495 0.991 Pm
0.775 0.009 0.505 Pm
0.562 0.333 0.667 Ge
0.024 0.171 0.829 I
0.024 0.171 0.342 I
0.027 0.667 0.333 I
0.543 0.831 0.169 I
0.543 0.339 0.169 I
0.543 0.831 0.661 I
0.024 0.658 0.829 I
```

Computed properties:
formation energy (no corrections): -1.074 eV/atom

***

(6)
Entry from Alexandria via LeMat-Bulk: Pm8GePt3I4 after structural relaxation (GGA-PBE).

POSCAR file:
```
Pm8GePt3I4
1.0
-5.873 -3.298 5.322
1.862 -8.559 -3.248
6.571 4.542 3.142
Pm Ge Pt I
8 1 3 4
direct
0.234 0.690 0.956 Pm
0.234 0.690 0.468 Pm
0.271 0.313 0.542 Pm
0.722 0.690 0.956 Pm
0.278 0.310 0.044 Pm
0.729 0.687 0.458 Pm
0.766 0.310 0.532 Pm
0.766 0.310 0.044 Pm
0.000 0.500 0.000 Ge
0.500 0.500 0.000 Pt
0.500 0.500 0.500 Pt
0.000 0.500 0.500 Pt
0.500 0.000 0.000 I
0.500 0.000 0.500 I
0.000 0.000 0.000 I
0.000 0.000 0.500 I
```

Computed properties:
formation energy (no corrections): -1.057 eV/atom

***

(7)
Entry from Alexandria via LeMat-Bulk: Pm6GePt2I3 after structural relaxation (GGA-PBE).

POSCAR file:
```
Pm6GePt2I3
1.0
7.461 -0.008 -0.001
-3.735 6.459 -0.001
-1.245 -2.155 7.846
Pm Ge Pt I
6 1 2 3
direct
0.935 0.593 0.809 Pm
0.722 0.722 0.191 Pm
0.065 0.407 0.191 Pm
0.593 0.935 0.809 Pm
0.278 0.278 0.809 Pm
0.407 0.065 0.191 Pm
0.000 0.000 0.000 Ge
0.333 0.667 0.000 Pt
0.667 0.333 0.000 Pt
0.162 0.838 0.500 I
0.838 0.162 0.500 I
0.500 0.500 0.500 I
```

Computed properties:
formation energy (no corrections): -1.040 eV/atom

***

(8)
Entry from Alexandria via LeMat-Bulk: RbPmGe2I8 after structural relaxation (GGA-PBE).

POSCAR file:
```
RbPmGe2I8
1.0
-3.922 -1.396 6.662
-1.212 -7.210 -1.283
7.787 -3.396 5.328
Rb Pm Ge I
1 1 2 8
direct
0.000 0.000 0.500 Rb
0.000 0.000 0.000 Pm
0.463 0.446 0.739 Ge
0.537 0.554 0.261 Ge
0.169 0.738 0.222 I
0.678 0.773 0.033 I
0.832 0.255 0.216 I
0.831 0.262 0.778 I
0.322 0.227 0.967 I
0.168 0.745 0.784 I
0.628 0.726 0.463 I
0.372 0.274 0.537 I
```

Computed properties:
formation energy (no corrections): -0.814 eV/atom

***

(9)
Entry from Alexandria via LeMat-Bulk: Pm6GeRh2I3 after structural relaxation (GGA-PBE).

POSCAR file:
```
Pm6GeRh2I3
1.0
-6.892 2.363 -0.920
1.287 -7.067 1.530
1.383 3.165 7.567
Pm Ge Rh I
6 1 2 3
direct
0.938 0.591 0.811 Pm
0.716 0.716 0.189 Pm
0.062 0.409 0.189 Pm
0.591 0.938 0.811 Pm
0.284 0.284 0.811 Pm
0.409 0.062 0.189 Pm
0.000 0.000 0.000 Ge
0.333 0.667 0.000 Rh
0.667 0.333 0.000 Rh
0.162 0.838 0.500 I
0.838 0.162 0.500 I
0.500 0.500 0.500 I
```

Computed properties:
formation energy (no corrections): -0.915 eV/atom

***

(10)
Entry from Alexandria via LeMat-Bulk: Pm8GeRh3I4 after structural relaxation (GGA-PBE).

POSCAR file:
```
Pm8GeRh3I4
1.0
-3.366 7.355 2.493
-4.478 0.722 -8.175
-1.372 -7.027 4.513
Pm Ge Rh I
8 1 3 4
direct
0.235 0.686 0.951 Pm
0.235 0.686 0.470 Pm
0.270 0.311 0.540 Pm
0.716 0.686 0.951 Pm
0.284 0.314 0.049 Pm
0.730 0.689 0.460 Pm
0.765 0.314 0.530 Pm
0.765 0.314 0.049 Pm
0.000 0.500 0.000 Ge
0.500 0.500 0.000 Rh
0.500 0.500 0.500 Rh
0.000 0.500 0.500 Rh
0.500 0.000 0.000 I
0.500 0.000 0.500 I
0.000 0.000 0.000 I
0.000 0.000 0.500 I
```

Computed properties:
formation energy (no corrections): -0.913 eV/atom

***

(11)
Entry from Alexandria via LeMat-Bulk: Pm4GeSI2 after structural relaxation (GGA-PBE).

POSCAR file:
```
Pm4GeSI2
1.0
-1.659 1.089 -3.761
-0.924 -7.026 -1.627
-6.656 2.595 3.688
Pm Ge S I
4 1 1 2
direct
0.500 0.219 0.188 Pm
0.500 0.781 0.812 Pm
0.000 0.258 0.808 Pm
0.000 0.742 0.192 Pm
0.500 0.500 0.000 Ge
0.000 0.000 0.000 S
0.500 0.000 0.500 I
0.000 0.500 0.500 I
```

Computed properties:
formation energy (no corrections): -1.259 eV/atom

***

(12)
Entry from Alexandria via LeMat-Bulk: Pm6Ge2S3I after structural relaxation (GGA-PBE).

POSCAR file:
```
Pm6Ge2S3I
1.0
-1.671 0.736 3.753
-7.726 -1.554 -3.135
3.472 -8.624 0.918
Pm Ge S I
6 2 3 1
direct
0.320 0.903 0.640 Pm
0.667 0.584 0.333 Pm
0.680 0.097 0.360 Pm
0.003 0.287 0.006 Pm
0.997 0.713 0.994 Pm
0.333 0.416 0.667 Pm
0.834 0.668 0.667 Ge
0.166 0.332 0.333 Ge
0.500 0.500 0.000 S
0.839 0.164 0.677 S
0.161 0.836 0.323 S
0.500 0.000 0.000 I
```

Computed properties:
formation energy (no corrections): -1.479 eV/atom